[1]
Compound: TeOsSN2
Source: Alexandria via LeMat-Bulk
Functional: GGA-PBE
Structure: relaxed

Summary:
Space-group type   No. 123
ΔE to the lowest computed polymorph   148.4 kJ per mole of atoms

a b c (Å): 3.8680 3.8680 5.4809
angles (deg): 90.00 90.00 90.00
Sites, in units of the cell vectors:
Te 0.0000 0.0000 0.0000
Os 0.5000 0.5000 0.5000
S 0.0000 0.0000 0.5000
N 0.0000 0.5000 0.0000
N 0.5000 0.0000 0.0000

[2]
Compound: Th4OsSN2
Source: Alexandria via LeMat-Bulk
Functional: GGA-PBE
Structure: relaxed

Summary:
Space-group type   No. 10

a b c (Å): 6.7638 3.7999 6.8178
angles (deg): 90.00 108.03 90.00
Sites, in units of the cell vectors:
Th 0.2322 0.0000 0.2208
Th 0.2593 0.5000 0.7820
Th 0.7407 0.5000 0.2180
Th 0.7678 0.0000 0.7792
Os 0.0000 0.0000 0.5000
S 0.5000 0.5000 0.5000
N 0.0000 0.5000 0.0000
N 0.5000 0.0000 0.0000

[3]
Compound: Th8Os4S3N
Source: Alexandria via LeMat-Bulk
Functional: GGA-PBE
Structure: relaxed

Summary:
Space-group type   No. 166

a b c (Å): 8.3617 8.3617 8.3617
angles (deg): 57.84 57.84 57.84
Sites, in units of the cell vectors:
Th 0.2341 0.7534 0.7534
Th 0.2427 0.2427 0.2427
Th 0.2466 0.2466 0.7659
Th 0.2466 0.7659 0.2466
Th 0.7534 0.2341 0.7534
Th 0.7534 0.7534 0.2341
Th 0.7573 0.7573 0.7573
Th 0.7659 0.2466 0.2466
Os 0.0000 0.0000 0.5000
Os 0.0000 0.5000 0.0000
Os 0.5000 0.0000 0.0000
Os 0.5000 0.5000 0.5000
S 0.0000 0.5000 0.5000
S 0.5000 0.0000 0.5000
S 0.5000 0.5000 0.0000
N 0.0000 0.0000 0.0000

[4]
Compound: Th4Os2SN
Source: Alexandria via LeMat-Bulk
Functional: GGA-PBE
Structure: relaxed

Summary:
Space-group type   No. 10

a b c (Å): 6.9917 3.9508 7.1509
angles (deg): 90.00 108.60 90.00
Sites, in units of the cell vectors:
Th 0.2294 0.0000 0.2392
Th 0.2401 0.5000 0.7419
Th 0.7599 0.5000 0.2581
Th 0.7706 0.0000 0.7608
Os 0.0000 0.0000 0.5000
Os 0.5000 0.5000 0.5000
S 0.5000 0.0000 0.0000
N 0.0000 0.5000 0.0000

[5]
Compound: Th8Os3S3N
Source: Alexandria via LeMat-Bulk
Functional: GGA-PBE
Structure: relaxed

Summary:
Space-group type   No. 166

a b c (Å): 8.3307 8.3307 8.3307
angles (deg): 58.05 58.05 58.05
Sites, in units of the cell vectors:
Th 0.2225 0.7657 0.7657
Th 0.2343 0.2343 0.7775
Th 0.2343 0.7775 0.2343
Th 0.2440 0.2440 0.2440
Th 0.7560 0.7560 0.7560
Th 0.7657 0.2225 0.7657
Th 0.7657 0.7657 0.2225
Th 0.7775 0.2343 0.2343
Os 0.0000 0.0000 0.5000
Os 0.0000 0.5000 0.0000
Os 0.5000 0.0000 0.0000
S 0.0000 0.5000 0.5000
S 0.5000 0.0000 0.5000
S 0.5000 0.5000 0.0000
N 0.0000 0.0000 0.0000

[6]
Compound: TiOsS2N
Source: Alexandria via LeMat-Bulk
Functional: GGA-PBE
Structure: relaxed

Summary:
Space-group type   No. 123
ΔE to the lowest computed polymorph   0.0 kJ per mole of atoms

a b c (Å): 4.7830 4.7830 3.6602
angles (deg): 90.00 90.00 90.00
Sites, in units of the cell vectors:
Ti 0.0000 0.0000 0.0000
Os 0.5000 0.5000 0.5000
S 0.0000 0.5000 0.5000
S 0.5000 0.0000 0.5000
N 0.5000 0.5000 0.0000

[7]
Compound: TiOsS2N
Source: Alexandria via LeMat-Bulk
Functional: GGA-PBE
Structure: relaxed

Summary:
Space-group type   No. 123
ΔE to the lowest computed polymorph   48.3 kJ per mole of atoms

a b c (Å): 4.7525 4.7525 3.6457
angles (deg): 90.00 90.00 90.00
Sites, in units of the cell vectors:
Ti 0.0000 0.0000 0.0000
Os 0.5000 0.5000 0.5000
S 0.0000 0.5000 0.0000
S 0.5000 0.0000 0.0000
N 0.0000 0.0000 0.5000

[8]
Compound: TlOsSN2
Source: Alexandria via LeMat-Bulk
Functional: GGA-PBE
Structure: relaxed

Summary:
Space-group type   No. 123
ΔE to the lowest computed polymorph   170.2 kJ per mole of atoms

a b c (Å): 3.6703 3.6703 7.2754
angles (deg): 90.00 90.00 90.00
Sites, in units of the cell vectors:
Tl 0.0000 0.0000 0.0000
Os 0.5000 0.5000 0.0000
S 0.0000 0.0000 0.5000
N 0.0000 0.5000 0.5000
N 0.5000 0.0000 0.5000

Raw total energy for the records above, in order: -4.8654, -8.8802, -8.6974, -8.8379, -8.5073, -6.8346, -6.3339, -4.5462 eV per atom
Formation energy without anion corrections for the records above, in order: 2.16, -1.17, -0.89, -0.76, -0.92, 0.31, 0.81, 2.33 eV/atom